Computed, not measured: a geometry-optimized LiScCoB structure at the PBE-GGA level of DFT.

The structure in POSCAR format:
```
LiScCoB
1.0
3.0739 -1.2315 2.2553
0.6871 1.7115 3.5567
-0.6854 -2.0481 3.3745
Co Sc B Li
1 1 1 1
direct
0.2500 0.2500 0.2500
0.5000 0.5000 0.5000
0.0000 0.0000 0.0000
0.7500 0.7500 0.7500
```

Results
Symmetry ... F-43m (216)
Magnetic moment ... 0.0001 μB/atom
VASP energy ... -5.37 eV per atom